# ScB2Cl8

An optimized crystal structure of ScB2Cl8 (GGA-PBE, Alexandria via LeMat-Bulk).

Summary:
energy relative to the elements, uncorrected: -1126 meV/atom
calculated volume: 322.9 Å³/f.u.
space group: C2/m (12)

Lattice parameters (Å, degrees): 7.5814 7.5814 5.7517 96.31 96.31 80.76
Last column: nearest neighbours and their distance in Å.
Atoms (fractional coordinates):
Sc1 0.0000 0.0000 0.0000  6 Cl 2.60-2.65
B1 0.2003 0.2003 0.6540  4 Cl 1.79-1.91
B2 0.7997 0.7997 0.3460  4 Cl 1.79-1.91
Cl1 0.0337 0.7283 0.2494  1 B 1.90
Cl2 0.1897 0.1897 0.3191  1 B 1.91
Cl3 0.2717 0.9663 0.7506  1 B 1.90
Cl4 0.3521 0.3521 0.7763  1 B 1.79
Cl5 0.6479 0.6479 0.2237  1 B 1.79
Cl6 0.7283 0.0337 0.2494  1 B 1.90
Cl7 0.8103 0.8103 0.6809  1 B 1.91
Cl8 0.9663 0.2717 0.7506  1 B 1.90



# AcAl3Ag10

An optimized crystal structure of AcAl3Ag10 (GGA-PBE, Alexandria via LeMat-Bulk).

Summary:
DFT formation energy: 16 meV/atom
calculated volume: 290.7 Å³/f.u.
space group: Fm-3m (225)

Lattice parameters (Å, degrees): 9.3683 9.3683 9.3683 60.00 60.00 60.00
Last column: nearest neighbours and their distance in Å.
Atoms (fractional coordinates):
Ac1 0.2500 0.2500 0.2500  4 Ag 3.17
Ac2 0.7500 0.7500 0.7500  4 Ag 3.17
Al1 0.2401 0.2401 0.7599  8 Ag 2.57-2.70
Al2 0.2401 0.7599 0.2401  8 Ag 2.57-2.70
Al3 0.2401 0.7599 0.7599  8 Ag 2.57-2.70
Al4 0.7599 0.2401 0.2401  8 Ag 2.57-2.70
Al5 0.7599 0.2401 0.7599  8 Ag 2.57-2.70
Al6 0.7599 0.7599 0.2401  8 Ag 2.57-2.70
Ag1 0.1117 0.1117 0.1117  3 Al 2.70, 3 Ag 2.96
Ag2 0.1117 0.1117 0.6650  3 Al 2.70, 3 Ag 2.96
Ag3 0.1117 0.6650 0.1117  3 Al 2.70, 3 Ag 2.96
Ag4 0.1538 0.5000 0.5000  2 Al 2.57
Ag5 0.1538 0.5000 0.8462  2 Al 2.57
Ag6 0.1538 0.8462 0.5000  2 Al 2.57
Ag7 0.3350 0.8883 0.8883  3 Al 2.70, 3 Ag 2.96
Ag8 0.5000 0.1538 0.5000  2 Al 2.57
Ag9 0.5000 0.1538 0.8462  2 Al 2.57
Ag10 0.5000 0.5000 0.1538  2 Al 2.57
Ag11 0.5000 0.5000 0.8462  2 Al 2.57
Ag12 0.5000 0.8462 0.1538  2 Al 2.57
Ag13 0.5000 0.8462 0.5000  2 Al 2.57
Ag14 0.6650 0.1117 0.1117  3 Al 2.70, 3 Ag 2.96
Ag15 0.8462 0.1538 0.5000  2 Al 2.57
Ag16 0.8462 0.5000 0.1538  2 Al 2.57
Ag17 0.8462 0.5000 0.5000  2 Al 2.57
Ag18 0.8883 0.3350 0.8883  3 Al 2.70, 3 Ag 2.96
Ag19 0.8883 0.8883 0.3350  3 Al 2.70, 3 Ag 2.96
Ag20 0.8883 0.8883 0.8883  3 Al 2.70, 3 Ag 2.96



# Rb2AlCu

An optimized crystal structure of Rb2AlCu (GGA-PBE, Alexandria via LeMat-Bulk).

Summary:
energy above the lowest structure with this stoichiometry: 0.3874 eV per atom
DFT formation energy: 682 meV/atom
calculated volume: 157.0 Å³/f.u.
space group: Fm-3m (225)

Lattice parameters (Å, degrees): 8.5639 8.5639 8.5639 90.00 90.00 90.00
Last column: nearest neighbours and their distance in Å.
Atoms (fractional coordinates):
Rb1 0.2500 0.2500 0.2500  4 Al 3.71, 4 Cu 3.71
Rb2 0.2500 0.2500 0.7500  4 Al 3.71, 4 Cu 3.71
Rb3 0.2500 0.7500 0.2500  4 Al 3.71, 4 Cu 3.71
Rb4 0.2500 0.7500 0.7500  4 Al 3.71, 4 Cu 3.71
Rb5 0.7500 0.2500 0.2500  4 Al 3.71, 4 Cu 3.71
Rb6 0.7500 0.2500 0.7500  4 Al 3.71, 4 Cu 3.71
Rb7 0.7500 0.7500 0.2500  4 Al 3.71, 4 Cu 3.71
Rb8 0.7500 0.7500 0.7500  4 Al 3.71, 4 Cu 3.71
Al1 0.0000 0.0000 0.0000  8 Rb 3.71
Al2 0.0000 0.5000 0.5000  8 Rb 3.71
Al3 0.5000 0.0000 0.5000  8 Rb 3.71
Al4 0.5000 0.5000 0.0000  8 Rb 3.71
Cu1 0.0000 0.0000 0.5000  8 Rb 3.71
Cu2 0.0000 0.5000 0.0000  8 Rb 3.71
Cu3 0.5000 0.0000 0.0000  8 Rb 3.71
Cu4 0.5000 0.5000 0.5000  8 Rb 3.71



# Sr3Hg3Pb

An optimized crystal structure of Sr3Hg3Pb (GGA-PBE, Alexandria via LeMat-Bulk).

Summary:
energy above the lowest structure with this stoichiometry: 0.0000 eV per atom
DFT formation energy: -476 meV/atom
calculated volume: 234.4 Å³/f.u.
space group: C2/m (12)

Lattice parameters (Å, degrees): 6.6101 6.6101 16.8546 106.95 106.95 42.08
Last column: nearest neighbours and their distance in Å.
Atoms (fractional coordinates):
Sr1 0.0267 0.0267 0.3856  6 Hg 3.42-3.55, 3 Pb 3.51-3.58
Sr2 0.1073 0.1073 0.9228  7 Hg 3.42-3.63
Sr3 0.2378 0.2378 0.2268  5 Hg 3.39-3.65, 2 Pb 3.54
Sr4 0.7622 0.7622 0.7732  5 Hg 3.39-3.65, 2 Pb 3.54
Sr5 0.8927 0.8927 0.0772  7 Hg 3.42-3.63
Sr6 0.9733 0.9733 0.6144  6 Hg 3.42-3.55, 3 Pb 3.51-3.58
Hg1 0.3715 0.3715 0.4637  3 Pb 2.99-3.26, 1 Hg 3.02
Hg2 0.3855 0.3855 0.9247  2 Hg 3.15-3.16, 5 Sr 3.42-3.48
Hg3 0.4879 0.4879 0.7745  1 Pb 3.16, 1 Hg 3.16, 3 Sr 3.39-3.43
Hg4 0.5121 0.5121 0.2255  1 Pb 3.16, 1 Hg 3.16, 3 Sr 3.39-3.43
Hg5 0.6145 0.6145 0.0753  2 Hg 3.15-3.16, 5 Sr 3.42-3.48
Hg6 0.6285 0.6285 0.5363  3 Pb 2.99-3.26, 1 Hg 3.02
Pb1 0.2653 0.2653 0.6178  4 Hg 2.99-3.26
Pb2 0.7347 0.7347 0.3822  4 Hg 2.99-3.26



# K2Ga3AgSn4

An optimized crystal structure of K2Ga3AgSn4 (GGA-PBE, Alexandria via LeMat-Bulk).

Summary:
DFT formation energy: -142 meV/atom
calculated volume: 275.4 Å³/f.u.
space group: P-4m2 (115)

Lattice parameters (Å, degrees): 4.8752 4.8752 11.5879 90.00 90.00 90.00
Last column: nearest neighbours and their distance in Å.
Atoms (fractional coordinates):
K1 0.0000 0.5000 0.2420  8 Sn 3.69-3.86, 2 Ag 3.72, 6 Ga 3.72-3.73
K2 0.5000 0.0000 0.7580  8 Sn 3.69-3.86, 2 Ag 3.72, 6 Ga 3.72-3.73
Ga1 0.0000 0.0000 0.0000  4 Sn 2.85
Ga2 0.0000 0.5000 0.6359  5 Sn 2.74-2.90
Ga3 0.5000 0.0000 0.3641  5 Sn 2.74-2.90
Ag1 0.5000 0.5000 0.0000  4 Sn 2.85
Sn1 0.0000 0.0000 0.5000  4 Ga 2.90
Sn2 0.0000 0.5000 0.8723  3 Ga 2.74-2.85, 2 Ag 2.85
Sn3 0.5000 0.0000 0.1277  3 Ga 2.74-2.85, 2 Ag 2.85
Sn4 0.5000 0.5000 0.5000  4 Ga 2.90



# ErMg2In

An optimized crystal structure of ErMg2In (GGA-PBE, Alexandria via LeMat-Bulk).

Summary:
energy above the lowest structure with this stoichiometry: 0.1641 eV per atom
DFT formation energy: -99 meV/atom
calculated volume: 99.9 Å³/f.u.
space group: P4/mmm (123)

Lattice parameters (Å, degrees): 3.4889 3.4889 8.2103 90.00 90.00 90.00
Last column: nearest neighbours and their distance in Å.
Atoms (fractional coordinates):
Er1 0.0000 0.0000 0.0000  8 Mg 3.34, 4 Er 3.49
Mg1 0.5000 0.5000 0.2746  4 In 3.08, 4 Er 3.34
Mg2 0.5000 0.5000 0.7254  4 In 3.08, 4 Er 3.34
In1 0.0000 0.0000 0.5000  8 Mg 3.08



# Nd2Ga6Ni3

An optimized crystal structure of Nd2Ga6Ni3 (GGA-PBE, Alexandria via LeMat-Bulk).

Summary:
DFT formation energy: -502 meV/atom
calculated volume: 200.4 Å³/f.u.
space group: P-62m (189)

Lattice parameters (Å, degrees): 7.4931 7.4931 4.1213 90.00 90.00 120.00
Last column: nearest neighbours and their distance in Å.
Atoms (fractional coordinates):
Nd1 0.3333 0.6667 0.0000  9 Ga 3.12-3.31, 6 Ni 3.16
Nd2 0.6667 0.3333 0.0000  9 Ga 3.12-3.31, 6 Ni 3.16
Ga1 0.0000 0.3091 0.5000  3 Ni 2.45-2.55
Ga2 0.0000 0.7993 0.0000  2 Ni 2.40, 2 Ga 2.60
Ga3 0.2007 0.2007 0.0000  2 Ni 2.40, 2 Ga 2.60
Ga4 0.3091 0.0000 0.5000  3 Ni 2.45-2.55
Ga5 0.6909 0.6909 0.5000  3 Ni 2.45-2.55
Ga6 0.7993 0.0000 0.0000  2 Ni 2.40, 2 Ga 2.60
Ni1 0.0000 0.6362 0.5000  5 Ga 2.40-2.55
Ni2 0.3638 0.3638 0.5000  5 Ga 2.40-2.55
Ni3 0.6362 0.0000 0.5000  5 Ga 2.40-2.55



# Cs2TcI5Br

An optimized crystal structure of Cs2TcI5Br (GGA-PBE, Alexandria via LeMat-Bulk).

Summary:
energy relative to the elements, uncorrected: -832 meV/atom
calculated volume: 399.2 Å³/f.u.
space group: I4mm (107)

Lattice parameters (Å, degrees): 8.2868 8.2868 8.2868 120.51 120.51 89.12
Last column: nearest neighbours and their distance in Å.
Atoms (fractional coordinates):
Cs1 0.0000 0.5000 0.5000  10 I 4.12-4.15, 2 Br 4.13
Cs2 0.5000 0.0000 0.5000  10 I 4.12-4.15, 2 Br 4.13
Tc1 0.2485 0.2485 0.0000  1 Br 2.55, 5 I 2.75-2.76
I1 0.0119 0.0119 0.5253  1 Tc 2.76
I2 0.0119 0.4865 0.0000  1 Tc 2.76
I3 0.4815 0.4815 0.0000  1 Tc 2.75
I4 0.4865 0.0119 0.0000  1 Tc 2.76
I5 0.4865 0.4865 0.4747  1 Tc 2.76
Br1 0.0323 0.0323 0.0000  1 Tc 2.55



# LaTe3Rh

An optimized crystal structure of LaTe3Rh (GGA-PBE, Alexandria via LeMat-Bulk).

Summary:
energy above the lowest structure with this stoichiometry: 0.0000 eV per atom
energy relative to the elements, uncorrected: -576 meV/atom
calculated volume: 144.8 Å³/f.u.
space group: Pm-3m (221)

Lattice parameters (Å, degrees): 5.2516 5.2516 5.2516 90.00 90.00 90.00
Last column: nearest neighbours and their distance in Å.
Atoms (fractional coordinates):
La1 0.0000 0.0000 0.0000  12 Te 3.71
Te1 0.0000 0.5000 0.5000  2 Rh 2.63
Te2 0.5000 0.0000 0.5000  2 Rh 2.63
Te3 0.5000 0.5000 0.0000  2 Rh 2.63
Rh1 0.5000 0.5000 0.5000  6 Te 2.63



# Zr4Bi2H

An optimized crystal structure of Zr4Bi2H (GGA-PBE, Alexandria via LeMat-Bulk).

Summary:
energy above the lowest structure with this stoichiometry: 0.0000 eV per atom
calculated volume: 146.5 Å³/f.u.
space group: I4/mmm (139)

Lattice parameters (Å, degrees): 4.3326 4.3326 15.6130 90.00 90.00 90.00
Last column: nearest neighbours and their distance in Å.
Atoms (fractional coordinates):
Zr1 0.0000 0.0000 0.1636  1 H 2.55
Zr2 0.0000 0.0000 0.8364  1 H 2.55
Zr3 0.0000 0.5000 0.0000  2 H 2.17
Zr4 0.0000 0.5000 0.5000  2 H 2.17
Zr5 0.5000 0.0000 0.0000  2 H 2.17
Zr6 0.5000 0.0000 0.5000  2 H 2.17
Zr7 0.5000 0.5000 0.3364  1 H 2.55
Zr8 0.5000 0.5000 0.6636  1 H 2.55
Bi1 0.0000 0.0000 0.3562  9 Zr 3.01-3.12
Bi2 0.0000 0.0000 0.6438  9 Zr 3.01-3.12
Bi3 0.5000 0.5000 0.1438  9 Zr 3.01-3.12
Bi4 0.5000 0.5000 0.8562  9 Zr 3.01-3.12
H1 0.0000 0.0000 0.0000  4 Zr 2.17
H2 0.5000 0.5000 0.5000  4 Zr 2.17



Which formula does entry 5 have? K2Ga3AgSn4



Repeat the third record exactly.
# Rb2AlCu

An optimized crystal structure of Rb2AlCu (GGA-PBE, Alexandria via LeMat-Bulk).

Summary:
energy above the lowest structure with this stoichiometry: 0.3874 eV per atom
DFT formation energy: 682 meV/atom
calculated volume: 157.0 Å³/f.u.
space group: Fm-3m (225)

Lattice parameters (Å, degrees): 8.5639 8.5639 8.5639 90.00 90.00 90.00
Last column: nearest neighbours and their distance in Å.
Atoms (fractional coordinates):
Rb1 0.2500 0.2500 0.2500  4 Al 3.71, 4 Cu 3.71
Rb2 0.2500 0.2500 0.7500  4 Al 3.71, 4 Cu 3.71
Rb3 0.2500 0.7500 0.2500  4 Al 3.71, 4 Cu 3.71
Rb4 0.2500 0.7500 0.7500  4 Al 3.71, 4 Cu 3.71
Rb5 0.7500 0.2500 0.2500  4 Al 3.71, 4 Cu 3.71
Rb6 0.7500 0.2500 0.7500  4 Al 3.71, 4 Cu 3.71
Rb7 0.7500 0.7500 0.2500  4 Al 3.71, 4 Cu 3.71
Rb8 0.7500 0.7500 0.7500  4 Al 3.71, 4 Cu 3.71
Al1 0.0000 0.0000 0.0000  8 Rb 3.71
Al2 0.0000 0.5000 0.5000  8 Rb 3.71
Al3 0.5000 0.0000 0.5000  8 Rb 3.71
Al4 0.5000 0.5000 0.0000  8 Rb 3.71
Cu1 0.0000 0.0000 0.5000  8 Rb 3.71
Cu2 0.0000 0.5000 0.0000  8 Rb 3.71
Cu3 0.5000 0.0000 0.0000  8 Rb 3.71
Cu4 0.5000 0.5000 0.5000  8 Rb 3.71



Please write out number 9 again, unchanged.
# LaTe3Rh

An optimized crystal structure of LaTe3Rh (GGA-PBE, Alexandria via LeMat-Bulk).

Summary:
energy above the lowest structure with this stoichiometry: 0.0000 eV per atom
energy relative to the elements, uncorrected: -576 meV/atom
calculated volume: 144.8 Å³/f.u.
space group: Pm-3m (221)

Lattice parameters (Å, degrees): 5.2516 5.2516 5.2516 90.00 90.00 90.00
Last column: nearest neighbours and their distance in Å.
Atoms (fractional coordinates):
La1 0.0000 0.0000 0.0000  12 Te 3.71
Te1 0.0000 0.5000 0.5000  2 Rh 2.63
Te2 0.5000 0.0000 0.5000  2 Rh 2.63
Te3 0.5000 0.5000 0.0000  2 Rh 2.63
Rh1 0.5000 0.5000 0.5000  6 Te 2.63